Record 1
Compound: K3PrSb2Se6
Source: Alexandria
Functional: PBE
Structure: relaxed

The structure belongs to space group C2/m (No. 12); the cell edges are 7.441, 12.888 and 8.096 Å and the angles 90.00°, 107.85° and 90.00°. The asymmetric unit holds K at (0.000, 0.000, 0.000), K at (0.000, 0.333, 0.000), Pr at (0.000, 0.500, 0.500), Sb at (0.000, 0.167, 0.500), Se at (0.228, 0.000, 0.708) and Se at (0.240, 0.329, 0.708).

Its final energy is -4.148 eV per atom. The value obtained for the formation energy without anion corrections is -1.046 eV per atom.

=====

Record 2
Compound: K4Pr3SbSe8
Source: Alexandria
Functional: PBE
Structure: relaxed

The structure belongs to space group R-3m (No. 166, hexagonal axes); the cell edges are 8.7100, 8.7100 and 23.0916 Å and the angles 90.00°, 90.00° and 120.00°. The asymmetric unit holds K at (0.0000, 0.0000, 0.0000), K at (0.0000, 0.5000, 0.0000), Pr at (0.0000, 0.5000, 0.5000), Sb at (0.0000, 0.0000, 0.5000), Se at (0.0000, 0.0000, 0.2377) and Se at (0.0073, 0.5036, 0.2365).

Its final energy is -4.653 eV per atom. The value obtained for the formation energy without anion corrections is -1.483 eV per atom.

=====

Record 3
Compound: K3Pr3SbSe8
Source: Alexandria
Functional: PBE
Structure: relaxed

The structure belongs to space group R-3m (No. 166, hexagonal axes); the cell edges are 8.6181, 8.6181 and 23.5203 Å and the angles 90.00°, 90.00° and 120.00°. The asymmetric unit holds K at (0.0000, 0.5000, 0.0000), Pr at (0.0000, 0.5000, 0.5000), Sb at (0.0000, 0.0000, 0.5000), Se at (0.0000, 0.0000, 0.2372) and Se at (0.0191, 0.5095, 0.2339).

Its final energy is -4.719 eV per atom. The value obtained for the formation energy without anion corrections is -1.410 eV per atom.